An optimized crystal structure of Ca3Ga7Pt4. Source: Alexandria via LeMat-Bulk, functional PBE-GGA.

Results
energy relative to the elements = -10.89 eV/f.u.
SG = C2/m, No. 12
VASP energy = -4.446 eV per atom

a b c (Å): 8.1806 8.1806 9.2600
angles (deg): 122.06 122.06 30.99
Sites, in units of the cell vectors:
Ca 0.0000 0.0000 0.0000
Ca 0.3034 0.3034 0.2987
Ca 0.6966 0.6966 0.7013
Ga 0.0000 0.0000 0.5000
Ga 0.1547 0.1547 0.4284
Ga 0.3196 0.3196 0.9690
Ga 0.4978 0.4978 0.2928
Ga 0.5022 0.5022 0.7072
Ga 0.6804 0.6804 0.0310
Ga 0.8453 0.8453 0.5716
Pt 0.1208 0.1208 0.8434
Pt 0.3426 0.3426 0.7132
Pt 0.6574 0.6574 0.2868
Pt 0.8792 0.8792 0.1566